First-principles (PBE) data for crystalline Ce3Pr4ScS8 at its relaxed geometry, as listed in the Alexandria database.

- symmetry = No. 166
- total DFT energy (no corrections) (eV per atom) = -6.760
- D(E_F) (states/eV/atom) = 1.187

a b c (Å): 8.056 8.060 8.056
angles (deg): 119.99 120.00 90.00
Sites, in units of the cell vectors:
1 Ce 0.500 0.500 0.000
2 Ce 0.500 0.500 0.500
3 Ce 0.000 0.500 0.500
4 Pr 0.500 0.000 0.000
5 Pr 0.500 0.000 0.500
6 Pr 0.000 0.000 0.000
7 Pr 0.000 0.000 0.500
8 Sc 0.000 0.500 0.000
9 S 0.239 0.734 0.995
10 S 0.239 0.734 0.478
11 S 0.252 0.256 0.504
12 S 0.756 0.734 0.995
13 S 0.244 0.266 0.005
14 S 0.748 0.744 0.496
15 S 0.761 0.266 0.522
16 S 0.761 0.266 0.005

***

First-principles (PBE) data for crystalline TbDy2PaTc2 at its relaxed geometry, as listed in the Alexandria database.

- symmetry = No. 72
- total DFT energy (no corrections) (eV per atom) = -7.386
- D(E_F) (states/eV/atom) = 0.977

a b c (Å): 6.610 6.735 8.383
angles (deg): 113.68 113.22 90.00
Sites, in units of the cell vectors:
1 Tb 0.250 0.000 0.000
2 Tb 0.750 0.000 0.000
3 Dy 0.691 0.916 0.383
4 Dy 0.191 0.466 0.383
5 Dy 0.809 0.534 0.617
6 Dy 0.309 0.084 0.617
7 Pa 0.750 0.500 0.000
8 Pa 0.250 0.500 0.000
9 Tc 0.395 0.597 0.789
10 Tc 0.605 0.403 0.211
11 Tc 0.105 0.808 0.211
12 Tc 0.895 0.192 0.789

***

First-principles (PBE) data for crystalline U3HgSe6 at its relaxed geometry, as listed in the Alexandria database.

- symmetry = No. 36
- total DFT energy (no corrections) (eV per atom) = -6.477
- D(E_F) (states/eV/atom) = 2.056

a b c (Å): 7.224 8.565 8.565
angles (deg): 101.15 90.00 90.00
Sites, in units of the cell vectors:
1 U 0.480 0.919 0.720
2 U 0.980 0.720 0.919
3 U 0.366 0.400 0.600
4 U 0.866 0.600 0.400
5 U 0.980 0.081 0.280
6 U 0.480 0.280 0.081
7 Hg 0.963 0.320 0.680
8 Hg 0.463 0.680 0.320
9 Se 0.169 0.704 0.624
10 Se 0.669 0.624 0.704
11 Se 0.268 0.490 0.931
12 Se 0.768 0.931 0.490
13 Se 0.211 0.028 0.972
14 Se 0.611 0.231 0.769
15 Se 0.111 0.769 0.231
16 Se 0.711 0.972 0.028
17 Se 0.268 0.069 0.510
18 Se 0.768 0.510 0.069
19 Se 0.169 0.376 0.296
20 Se 0.669 0.296 0.376

***

First-principles (PBE) data for crystalline BaNaSrGe at its relaxed geometry, as listed in the Alexandria database.

- symmetry = No. 216
- total DFT energy (no corrections) (eV per atom) = -2.657
- D(E_F) (states/eV/atom) = 0.283

a b c (Å): 5.799 5.799 5.799
angles (deg): 60.00 60.00 60.00
Sites, in units of the cell vectors:
1 Sr 0.500 0.500 0.500
2 Ge 0.250 0.250 0.250
3 Ba 0.000 0.000 0.000
4 Na 0.750 0.750 0.750

***

First-principles (PBE) data for crystalline K2SbBr6 at its relaxed geometry, as listed in the Alexandria database.

- symmetry = No. 136
- total DFT energy (no corrections) (eV per atom) = -2.828
- D(E_F) (states/eV/atom) = 0.767

a b c (Å): 7.328 7.328 14.114
angles (deg): 90.00 90.00 90.00
Sites, in units of the cell vectors:
1 K 0.000 0.000 0.334
2 K 0.500 0.500 0.834
3 K 0.500 0.500 0.166
4 K 0.000 0.000 0.666
5 Sb 0.000 0.000 0.000
6 Sb 0.500 0.500 0.500
7 Br 0.319 0.319 0.360
8 Br 0.681 0.681 0.360
9 Br 0.181 0.819 0.860
10 Br 0.819 0.181 0.860
11 Br 0.181 0.819 0.140
12 Br 0.819 0.181 0.140
13 Br 0.319 0.319 0.640
14 Br 0.681 0.681 0.640
15 Br 0.263 0.263 0.000
16 Br 0.737 0.737 0.000
17 Br 0.237 0.763 0.500
18 Br 0.763 0.237 0.500

***

First-principles (PBE) data for crystalline Ce12AgPt6 at its relaxed geometry, as listed in the Alexandria database.

- symmetry = No. 148
- total DFT energy (no corrections) (eV per atom) = -6.308
- D(E_F) (states/eV/atom) = 3.620

a b c (Å): 8.316 8.316 8.316
angles (deg): 97.66 97.66 97.66
Sites, in units of the cell vectors:
1 Ce 0.814 0.579 0.417
2 Ce 0.417 0.814 0.579
3 Ce 0.579 0.417 0.814
4 Ce 0.186 0.421 0.583
5 Ce 0.583 0.186 0.421
6 Ce 0.421 0.583 0.186
7 Ce 0.055 0.966 0.349
8 Ce 0.034 0.651 0.945
9 Ce 0.651 0.945 0.034
10 Ce 0.945 0.034 0.651
11 Ce 0.966 0.349 0.055
12 Ce 0.349 0.055 0.966
13 Ag 0.000 0.000 0.000
14 Pt 0.680 0.870 0.373
15 Pt 0.627 0.320 0.130
16 Pt 0.130 0.627 0.320
17 Pt 0.320 0.130 0.627
18 Pt 0.373 0.680 0.870
19 Pt 0.870 0.373 0.680

***

First-principles (PBE) data for crystalline Sc2CoRuI at its relaxed geometry, as listed in the Alexandria database.

- symmetry = No. 123
- total DFT energy (no corrections) (eV per atom) = -5.545
- D(E_F) (states/eV/atom) = 0.977

a b c (Å): 4.703 4.658 4.703
angles (deg): 90.00 90.00 90.00
Sites, in units of the cell vectors:
1 I 0.000 0.500 0.000
2 Ru 0.500 0.500 0.500
3 Co 0.000 0.000 0.000
4 Sc 0.000 0.000 0.500
5 Sc 0.500 0.000 0.000

***

First-principles (PBE) data for crystalline Ba3Se at its relaxed geometry, as listed in the Alexandria database.

- symmetry = No. 63
- total DFT energy (no corrections) (eV per atom) = -2.702
- D(E_F) (states/eV/atom) = 0.371

a b c (Å): 8.461 8.461 8.125
angles (deg): 90.00 90.00 128.52
Sites, in units of the cell vectors:
1 Ba 0.942 0.058 0.750
2 Ba 0.058 0.942 0.250
3 Ba 0.920 0.564 0.750
4 Ba 0.080 0.436 0.250
5 Ba 0.436 0.080 0.750
6 Ba 0.564 0.920 0.250
7 Se 0.486 0.514 0.250
8 Se 0.514 0.486 0.750

***

Please write out number 5 again, unchanged.
First-principles (PBE) data for crystalline K2SbBr6 at its relaxed geometry, as listed in the Alexandria database.

- symmetry = No. 136
- total DFT energy (no corrections) (eV per atom) = -2.828
- D(E_F) (states/eV/atom) = 0.767

a b c (Å): 7.328 7.328 14.114
angles (deg): 90.00 90.00 90.00
Sites, in units of the cell vectors:
1 K 0.000 0.000 0.334
2 K 0.500 0.500 0.834
3 K 0.500 0.500 0.166
4 K 0.000 0.000 0.666
5 Sb 0.000 0.000 0.000
6 Sb 0.500 0.500 0.500
7 Br 0.319 0.319 0.360
8 Br 0.681 0.681 0.360
9 Br 0.181 0.819 0.860
10 Br 0.819 0.181 0.860
11 Br 0.181 0.819 0.140
12 Br 0.819 0.181 0.140
13 Br 0.319 0.319 0.640
14 Br 0.681 0.681 0.640
15 Br 0.263 0.263 0.000
16 Br 0.737 0.737 0.000
17 Br 0.237 0.763 0.500
18 Br 0.763 0.237 0.500